No. 1
Entry from the Alexandria database: a relaxed Tm8SiTe4Pt3 crystal (GGA-PBE).

abc: 8.6196 8.6196 8.6196
angles: 56.99 56.99 56.99
Positions (direct):
Tm: 0.2351 0.7398 0.7398
Tm: 0.2368 0.2368 0.2368
Tm: 0.2602 0.2602 0.7649
Tm: 0.2602 0.7649 0.2602
Tm: 0.7398 0.2351 0.7398
Tm: 0.7398 0.7398 0.2351
Tm: 0.7632 0.7632 0.7632
Tm: 0.7649 0.2602 0.2602
Si: 0.5000 0.5000 0.5000
Te: 0.0000 0.0000 0.0000
Te: 0.0000 0.5000 0.5000
Te: 0.5000 0.0000 0.5000
Te: 0.5000 0.5000 0.0000
Pt: 0.0000 0.0000 0.5000
Pt: 0.0000 0.5000 0.0000
Pt: 0.5000 0.0000 0.0000

Computed properties:
raw total energy = -90.8 eV for the cell shown
magnetization = 0.00 μB per atom
ΔE_f (raw) = -114 kJ per mole of atoms

No. 2
Entry from the Alexandria database: a relaxed KNa2Ta crystal (GGA-PBE).

abc: 5.7552 5.7552 5.7552
angles: 60.00 60.00 60.00
Positions (direct):
K: 0.0000 0.0000 0.0000
Na: 0.2500 0.2500 0.2500
Na: 0.7500 0.7500 0.7500
Ta: 0.5000 0.5000 0.5000

Computed properties:
raw total energy = -10.3 eV for the cell shown
magnetization = 1.08 μB per atom
E above lowest polymorph = 0 meV per atom

No. 3
Entry from the Alexandria database: a relaxed Sr3SnN crystal (GGA-PBE).

abc: 6.6275 7.2668 7.2671
angles: 65.46 77.97 77.83
Positions (direct):
Sr: 0.1761 0.1604 0.1614
Sr: 0.2890 0.1335 0.6989
Sr: 0.2904 0.6992 0.1317
Sr: 0.7096 0.3008 0.8683
Sr: 0.7110 0.8665 0.3011
Sr: 0.8239 0.8396 0.8386
Sn: 0.2936 0.6394 0.6378
Sn: 0.7064 0.3606 0.3622
N: 0.0000 0.0000 0.0000
N: 0.5000 0.0000 0.0000

Computed properties:
raw total energy = -41.1 eV for the cell shown
magnetization = 0.00 μB per atom
ΔE_f (raw) = -61 kJ per mole of atoms

No. 4
Entry from the Alexandria database: a relaxed LiTa2Pt crystal (GGA-PBE).

abc: 2.8512 2.8512 8.1984
angles: 90.00 90.00 90.17
Positions (direct):
Li: 0.0000 0.0000 0.0000
Ta: 0.0000 0.0000 0.4419
Ta: 0.5000 0.5000 0.7132
Pt: 0.5000 0.5000 0.2068

Computed properties:
raw total energy = -32.4 eV for the cell shown
magnetization = 0.00 μB per atom

No. 5
Entry from the Alexandria database: a relaxed Tb9Er2Tl crystal (GGA-PBE).

abc: 4.9437 4.9437 15.1253
angles: 90.00 90.00 90.00
Positions (direct):
Tb: 0.0000 0.0000 0.0000
Tb: 0.0000 0.0000 0.3296
Tb: 0.0000 0.0000 0.6704
Tb: 0.0000 0.5000 0.1634
Tb: 0.0000 0.5000 0.5000
Tb: 0.0000 0.5000 0.8366
Tb: 0.5000 0.0000 0.1634
Tb: 0.5000 0.0000 0.5000
Tb: 0.5000 0.0000 0.8366
Er: 0.5000 0.5000 0.3327
Er: 0.5000 0.5000 0.6673
Tl: 0.5000 0.5000 0.0000

Computed properties:
raw total energy = -53.7 eV for the cell shown
magnetization = 0.00 μB per atom

No. 6
Entry from the Alexandria database: a relaxed LiAc3Sm4Te8 crystal (GGA-PBE).

abc: 9.1492 9.1492 9.1492
angles: 59.45 59.45 59.45
Positions (direct):
Li: 0.0000 0.0000 0.0000
Ac: 0.0000 0.5000 0.5000
Ac: 0.5000 0.0000 0.5000
Ac: 0.5000 0.5000 0.0000
Sm: 0.0000 0.0000 0.5000
Sm: 0.0000 0.5000 0.0000
Sm: 0.5000 0.0000 0.0000
Sm: 0.5000 0.5000 0.5000
Te: 0.2342 0.7535 0.7535
Te: 0.2438 0.2438 0.2438
Te: 0.2465 0.2465 0.7658
Te: 0.2465 0.7658 0.2465
Te: 0.7535 0.2342 0.7535
Te: 0.7535 0.7535 0.2342
Te: 0.7562 0.7562 0.7562
Te: 0.7658 0.2465 0.2465

Computed properties:
raw total energy = -80.6 eV for the cell shown
magnetization = 0.00 μB per atom
ΔE_f (raw) = -135 kJ per mole of atoms

- Number 5 is which compound?
  Tb9Er2Tl

What did the third record say?
Entry from the Alexandria database: a relaxed Sr3SnN crystal (GGA-PBE).

abc: 6.6275 7.2668 7.2671
angles: 65.46 77.97 77.83
Positions (direct):
Sr: 0.1761 0.1604 0.1614
Sr: 0.2890 0.1335 0.6989
Sr: 0.2904 0.6992 0.1317
Sr: 0.7096 0.3008 0.8683
Sr: 0.7110 0.8665 0.3011
Sr: 0.8239 0.8396 0.8386
Sn: 0.2936 0.6394 0.6378
Sn: 0.7064 0.3606 0.3622
N: 0.0000 0.0000 0.0000
N: 0.5000 0.0000 0.0000

Computed properties:
raw total energy = -41.1 eV for the cell shown
magnetization = 0.00 μB per atom
ΔE_f (raw) = -61 kJ per mole of atoms

- The highest raw total energy belongs to which entry?
  KNa2Ta